No. 1
Computed, not measured: an optimized crystal structure of CrIn2Ni at the GGA-PBEsol level of DFT.

Calculated formation energy: 0.69 eV per formula unit
N(E_F): 0.574 states/eV/atom
Crystal system: tetragonal
Space group: No. 139
Total moment: 3.677 μB per cell

a b c (Å): 4.513 4.506 4.513
angles (deg): 59.95 90.00 120.05
Site moments in Bohr magnetons follow the coordinates.
Fractional coordinates of all 4 atoms:
Cr: 0.000 0.000 0.000  3.33
In: 0.750 0.500 0.750  -0.03
In: 0.250 0.500 0.250  -0.03
Ni: 0.500 0.000 0.500  0.19

=====

No. 2
Computed, not measured: an optimized crystal structure of CrInNi6 at the GGA-PBEsol level of DFT.

Calculated formation energy: -0.32 eV per formula unit
N(E_F): 1.124 states/eV/atom
Crystal system: orthorhombic
Space group: No. 65
Total moment: 4.696 μB per cell

a b c (Å): 6.195 6.195 10.165
angles (deg): 90.00 90.00 109.72
Site moments in Bohr magnetons follow the coordinates.
Fractional coordinates of all 32 atoms:
Cr: 0.251 0.749 0.500  1.45
Cr: 0.749 0.251 0.500  1.45
Cr: 0.000 0.000 0.748  1.42
Cr: 0.000 0.000 0.252  1.42
In: 0.255 0.745 0.000  0.00
In: 0.745 0.255 0.000  0.00
In: 0.500 0.500 0.747  0.00
In: 0.500 0.500 0.253  0.00
Ni: 0.244 0.756 0.737  -0.07
Ni: 0.884 0.640 0.867  -0.04
Ni: 0.116 0.360 0.867  -0.04
Ni: 0.756 0.244 0.737  -0.07
Ni: 0.360 0.116 0.867  -0.04
Ni: 0.640 0.884 0.867  -0.04
Ni: 0.500 0.500 0.500  0.01
Ni: 0.114 0.370 0.619  -0.05
Ni: 0.370 0.114 0.619  -0.05
Ni: 0.244 0.756 0.263  -0.07
Ni: 0.886 0.630 0.381  -0.05
Ni: 0.114 0.370 0.381  -0.05
Ni: 0.756 0.244 0.263  -0.07
Ni: 0.370 0.114 0.381  -0.05
Ni: 0.630 0.886 0.381  -0.05
Ni: 0.500 0.500 0.000  -0.01
Ni: 0.116 0.360 0.133  -0.04
Ni: 0.360 0.116 0.133  -0.04
Ni: 0.000 0.000 0.500  -0.06
Ni: 0.630 0.886 0.619  -0.05
Ni: 0.886 0.630 0.619  -0.05
Ni: 0.000 0.000 0.000  -0.09
Ni: 0.640 0.884 0.133  -0.04
Ni: 0.884 0.640 0.133  -0.04

=====

No. 3
Computed, not measured: an optimized crystal structure of ZnCr2InNi at the GGA-PBEsol level of DFT.

Calculated formation energy: 9.13 eV per formula unit
N(E_F): 1.591 states/eV/atom
Crystal system: tetragonal
Space group: No. 123
Total moment: 7.539 μB per cell

a b c (Å): 4.704 4.975 4.975
angles (deg): 90.00 90.00 90.00
Site moments in Bohr magnetons follow the coordinates.
Fractional coordinates of all 5 atoms:
Ni: 0.500 0.500 0.500  -0.74
Zn: 0.500 0.000 0.000  -0.04
Cr: 0.000 0.000 0.500  3.72
Cr: 0.000 0.500 0.000  3.72
In: 0.000 0.000 0.000  -0.05

=====

No. 4
Computed, not measured: an optimized crystal structure of CrIn3O at the GGA-PBEsol level of DFT.

N(E_F): 0.504 states/eV/atom
Crystal system: cubic
VASP energy: -4.112 eV per atom
Space group: No. 221
Total moment: 4.786 μB per cell

a b c (Å): 5.077 5.077 5.077
angles (deg): 90.00 90.00 90.00
Site moments in Bohr magnetons follow the coordinates.
Fractional coordinates of all 5 atoms:
Cr: 0.000 0.000 0.000  3.12
O: 0.500 0.500 0.500  0.90
In: 0.000 0.500 0.000  0.07
In: 0.000 0.000 0.500  0.07
In: 0.500 0.000 0.000  0.07

=====

No. 5
Computed, not measured: an optimized crystal structure of CrInTc2O at the GGA-PBEsol level of DFT.

N(E_F): 0.988 states/eV/atom
Crystal system: tetragonal
VASP energy: -7.925 eV per atom
Space group: No. 123
Total moment: 2.209 μB per cell

a b c (Å): 3.937 3.937 4.697
angles (deg): 90.00 90.00 90.00
Site moments in Bohr magnetons follow the coordinates.
Fractional coordinates of all 5 atoms:
Cr: 0.500 0.500 0.500  3.11
Tc: 0.000 0.500 0.000  -0.53
Tc: 0.500 0.000 0.000  -0.53
O: 0.000 0.000 0.000  -0.05
In: 0.000 0.000 0.500  -0.03

=====

No. 6
Computed, not measured: an optimized crystal structure of Cr2InOs at the GGA-PBEsol level of DFT.

Calculated formation energy: 1.76 eV per formula unit
N(E_F): 0.653 states/eV/atom
Crystal system: trigonal
Space group: No. 160
Total moment: 0.000 μB per cell

a b c (Å): 2.815 2.815 8.488
angles (deg): 80.45 80.45 60.00
Fractional coordinates of all 4 atoms:
Cr: 0.006 0.006 0.983
Cr: 0.737 0.737 0.789
In: 0.497 0.497 0.508
Os: 0.260 0.260 0.220

=====

No. 7
Computed, not measured: an optimized crystal structure of CrInOs2 at the GGA-PBEsol level of DFT.

Calculated formation energy: 1.36 eV per formula unit
N(E_F): 0.662 states/eV/atom
Crystal system: tetragonal
Space group: No. 99
Total moment: 3.028 μB per cell

a b c (Å): 2.806 2.806 7.785
angles (deg): 90.00 90.00 90.00
Site moments in Bohr magnetons follow the coordinates.
Fractional coordinates of all 4 atoms:
Cr: 0.000 0.000 0.477  2.72
In: 0.500 0.500 0.753  -0.04
Os: 0.000 0.000 0.026  0.24
Os: 0.500 0.500 0.244  -0.12

=====

No. 8
Computed, not measured: an optimized crystal structure of CrInOs2 at the GGA-PBEsol level of DFT.

Calculated formation energy: 2.59 eV per formula unit
N(E_F): 1.144 states/eV/atom
Crystal system: monoclinic
Space group: No. 12
Total moment: 1.536 μB per cell

a b c (Å): 2.748 4.921 5.197
angles (deg): 116.96 103.22 94.33
Site moments in Bohr magnetons follow the coordinates.
Fractional coordinates of all 4 atoms:
Cr: 0.500 0.000 0.000  1.81
In: 0.000 0.500 0.000  -0.03
Os: 0.000 0.000 0.500  -0.16
Os: 0.500 0.500 0.500  -0.16

=====

No. 9
Computed, not measured: an optimized crystal structure of CrInOs3 at the GGA-PBEsol level of DFT.

Calculated formation energy: 15.59 eV per formula unit
N(E_F): 1.408 states/eV/atom
Crystal system: cubic
Space group: No. 221
Total moment: 0.977 μB per cell

a b c (Å): 4.734 4.734 4.734
angles (deg): 90.00 90.00 90.00
Site moments in Bohr magnetons follow the coordinates.
Fractional coordinates of all 5 atoms:
Cr: 0.500 0.500 0.500  3.65
Os: 0.000 0.500 0.000  -0.95
Os: 0.000 0.000 0.500  -0.95
Os: 0.500 0.000 0.000  -0.95
In: 0.000 0.000 0.000  -0.02

=====

No. 10
Computed, not measured: an optimized crystal structure of Cr2InOs at the GGA-PBEsol level of DFT.

Calculated formation energy: 1.25 eV per formula unit
N(E_F): 1.130 states/eV/atom
Crystal system: tetragonal
Space group: No. 99
Total moment: 0.412 μB per cell

a b c (Å): 2.932 2.932 6.521
angles (deg): 90.00 90.00 90.00
Site moments in Bohr magnetons follow the coordinates.
Fractional coordinates of all 4 atoms:
Cr: 0.000 0.000 0.022  -0.18
Cr: 0.500 0.500 0.200  0.48
In: 0.000 0.000 0.488  0.00
Os: 0.500 0.500 0.790  0.07

=====

No. 11
Computed, not measured: an optimized crystal structure of Cr2InOs at the GGA-PBEsol level of DFT.

Calculated formation energy: 2.07 eV per formula unit
N(E_F): 1.164 states/eV/atom
Crystal system: cubic
Space group: No. 225
Total moment: 2.612 μB per cell

a b c (Å): 4.304 4.304 4.304
angles (deg): 60.00 60.00 60.00
Site moments in Bohr magnetons follow the coordinates.
Fractional coordinates of all 4 atoms:
Cr: 0.250 0.250 0.250  1.27
Cr: 0.750 0.750 0.750  1.27
In: 0.000 0.000 0.000  0.00
Os: 0.500 0.500 0.500  -0.04

=====

No. 12
Computed, not measured: an optimized crystal structure of CrInP2 at the GGA-PBEsol level of DFT.

Calculated formation energy: 0.68 eV per formula unit
N(E_F): 0.396 states/eV/atom
Crystal system: monoclinic
Space group: No. 10
Total moment: 2.716 μB per cell

a b c (Å): 3.233 4.306 5.043
angles (deg): 90.00 98.49 90.00
Site moments in Bohr magnetons follow the coordinates.
Fractional coordinates of all 4 atoms:
Cr: 0.500 0.500 0.000  2.52
In: 0.000 0.500 0.500  -0.04
P: 0.719 0.000 0.843  0.00
P: 0.281 0.000 0.157  0.00

=====

No. 13
Computed, not measured: an optimized crystal structure of CrInP2 at the GGA-PBEsol level of DFT.

Calculated formation energy: 1.40 eV per formula unit
N(E_F): 0.495 states/eV/atom
Crystal system: orthorhombic
Space group: No. 65
Total moment: 3.207 μB per cell

a b c (Å): 3.450 4.405 4.405
angles (deg): 103.19 90.00 90.00
Site moments in Bohr magnetons follow the coordinates.
Fractional coordinates of all 4 atoms:
Cr: 0.500 0.000 0.000  3.20
In: 0.500 0.500 0.500  -0.02
P: 0.000 0.500 0.000  -0.08
P: 0.000 0.000 0.500  -0.08

=====

No. 14
Computed, not measured: an optimized crystal structure of CrInP at the GGA-PBEsol level of DFT.

Calculated formation energy: 1.56 eV per formula unit
N(E_F): 0.862 states/eV/atom
Crystal system: cubic
Space group: No. 216
Total moment: 3.721 μB per cell

a b c (Å): 4.325 4.325 4.325
angles (deg): 60.00 60.00 60.00
Site moments in Bohr magnetons follow the coordinates.
Fractional coordinates of all 3 atoms:
Cr: 0.000 0.000 0.000  3.45
In: 0.500 0.500 0.500  -0.03
P: 0.250 0.250 0.250  -0.06